(1)
# CuIr2Ru2 GGA-PBE optimized geometry
# - D(E_F) (states/eV per cell) = 12.418
# - energy relative to the lowest polymorph listed for this composition (meV per atom) = 9
# - mass density (g/cm³) = 14.2
data_CuIr2Ru2
_chemical_formula_sum 'Cu2 Ir4 Ru4'
_symmetry_space_group_name_H-M 'P 4/m b m'
_symmetry_Int_Tables_number 127
_symmetry_space_group_name_Hall '-P 4 2ab'
_cell_length_a 7.481
_cell_length_b 7.481
_cell_length_c 2.724
_cell_angle_alpha 90.00
_cell_angle_beta 90.00
_cell_angle_gamma 90.00
loop_
_atom_site_label
_atom_site_type_symbol
_atom_site_fract_x
_atom_site_fract_y
_atom_site_fract_z
_atom_site_occupancy
Cu1 Cu 0.000 0.000 0.000 1
Ir1 Ir 0.173 0.327 0.500 1
Ru1 Ru 0.122 0.622 0.000 1

***

(2)
# Cu2IrRu GGA-PBE optimized geometry
# - D(E_F) (states/eV per cell) = 5.901
# - energy relative to the lowest polymorph listed for this composition (meV per atom) = 290
# - mass density (g/cm³) = 13.3
data_Cu2IrRu
_chemical_formula_sum 'Cu2 Ir1 Ru1'
_symmetry_space_group_name_H-M 'P 4/m m m'
_symmetry_Int_Tables_number 123
_symmetry_space_group_name_Hall '-P 4 2'
_cell_length_a 4.234
_cell_length_b 4.234
_cell_length_c 2.937
_cell_angle_alpha 90.00
_cell_angle_beta 90.00
_cell_angle_gamma 90.00
loop_
_atom_site_label
_atom_site_type_symbol
_atom_site_fract_x
_atom_site_fract_y
_atom_site_fract_z
_atom_site_occupancy
Cu1 Cu 0.000 0.500 0.000 1
Ir1 Ir 0.000 0.000 0.500 1
Ru1 Ru 0.500 0.500 0.500 1

***

(3)
# Cu2IrRu GGA-PBE optimized geometry
# - D(E_F) (states/eV per cell) = 2.994
# - energy relative to the lowest polymorph listed for this composition (meV per atom) = 0
# - mass density (g/cm³) = 13.2
data_Cu2IrRu
_chemical_formula_sum 'Cu2 Ir1 Ru1'
_symmetry_space_group_name_H-M 'P 4 m m'
_symmetry_Int_Tables_number 99
_cell_length_a 2.731
_cell_length_b 2.731
_cell_length_c 7.105
_cell_angle_alpha 90.00
_cell_angle_beta 90.00
_cell_angle_gamma 90.00
loop_
_symmetry_equiv_pos_as_xyz
'x,y,z'
'-y,x,z'
'-x,-y,z'
'y,-x,z'
'-x,y,z'
'y,x,z'
'x,-y,z'
'-y,-x,z'
loop_
_atom_site_label
_atom_site_type_symbol
_atom_site_fract_x
_atom_site_fract_y
_atom_site_fract_z
_atom_site_occupancy
Cu1 Cu 0.000 0.000 0.000 1
Cu2 Cu 0.500 0.500 0.228 1
Ir1 Ir 0.000 0.000 0.490 1
Ru1 Ru 0.500 0.500 0.740 1

***

(4)
# Cu4IrRu GGA-PBE optimized geometry
# - D(E_F) (states/eV per cell) = 11.027
# - raw total energy (eV/cell) = -132.2
# - mass density (g/cm³) = 11.9
data_Cu4IrRu
_chemical_formula_sum 'Cu16 Ir4 Ru4'
_symmetry_space_group_name_H-M 'F -4 3 m'
_symmetry_Int_Tables_number 216
_symmetry_space_group_name_Hall 'F -4 2 3'
_cell_length_a 6.728
_cell_length_b 6.728
_cell_length_c 6.728
_cell_angle_alpha 90.00
_cell_angle_beta 90.00
_cell_angle_gamma 90.00
loop_
_atom_site_label
_atom_site_type_symbol
_atom_site_fract_x
_atom_site_fract_y
_atom_site_fract_z
_atom_site_occupancy
Cu1 Cu 0.125 0.125 0.125 1
Ir1 Ir 0.250 0.250 0.750 1
Ru1 Ru 0.000 0.000 0.500 1

***

(5)
# Cu2IrRu GGA-PBE optimized geometry
# - D(E_F) (states/eV per cell) = 2.771
# - energy relative to the lowest polymorph listed for this composition (meV per atom) = 29
# - mass density (g/cm³) = 13.0
data_Cu2IrRu
_chemical_formula_sum 'Cu2 Ir1 Ru1'
_symmetry_space_group_name_H-M 'P m m 2'
_symmetry_Int_Tables_number 25
_cell_length_a 2.715
_cell_length_b 3.747
_cell_length_c 5.274
_cell_angle_alpha 90.00
_cell_angle_beta 90.00
_cell_angle_gamma 90.00
loop_
_symmetry_equiv_pos_as_xyz
'x,y,z'
'-x,-y,z'
'-x,y,z'
'x,-y,z'
loop_
_atom_site_label
_atom_site_type_symbol
_atom_site_fract_x
_atom_site_fract_y
_atom_site_fract_z
_atom_site_occupancy
Cu1 Cu 0.000 0.000 0.000 1
Cu2 Cu 0.500 0.500 0.217 1
Ir1 Ir 0.000 0.000 0.500 1
Ru1 Ru 0.500 0.500 0.716 1

***

(6)
# CuIr2Ru GGA-PBE optimized geometry
# - D(E_F) (states/eV per cell) = 10.586
# - energy relative to the lowest polymorph listed for this composition (meV per atom) = 94
# - mass density (g/cm³) = 16.5
data_CuIr2Ru
_chemical_formula_sum 'Cu2 Ir4 Ru2'
_symmetry_space_group_name_H-M 'I -4 m 2'
_symmetry_Int_Tables_number 119
_symmetry_space_group_name_Hall 'I -4 -2'
_cell_length_a 3.781
_cell_length_b 3.781
_cell_length_c 7.752
_cell_angle_alpha 90.00
_cell_angle_beta 90.00
_cell_angle_gamma 90.00
loop_
_atom_site_label
_atom_site_type_symbol
_atom_site_fract_x
_atom_site_fract_y
_atom_site_fract_z
_atom_site_occupancy
Cu1 Cu 0.000 0.000 0.000 1
Ir1 Ir 0.000 0.000 0.500 1
Ir2 Ir 0.000 0.500 0.750 1
Ru1 Ru 0.000 0.500 0.250 1

***

(7)
# Cu2IrRu GGA-PBE optimized geometry
# - D(E_F) (states/eV per cell) = 7.048
# - energy relative to the lowest polymorph listed for this composition (meV per atom) = 99
# - mass density (g/cm³) = 13.2
data_Cu2IrRu
_chemical_formula_sum 'Cu4 Ir2 Ru2'
_symmetry_space_group_name_H-M 'I -4 m 2'
_symmetry_Int_Tables_number 119
_symmetry_space_group_name_Hall 'I -4 -2'
_cell_length_a 3.760
_cell_length_b 3.760
_cell_length_c 7.461
_cell_angle_alpha 90.00
_cell_angle_beta 90.00
_cell_angle_gamma 90.00
loop_
_atom_site_label
_atom_site_type_symbol
_atom_site_fract_x
_atom_site_fract_y
_atom_site_fract_z
_atom_site_occupancy
Cu1 Cu 0.000 0.000 0.000 1
Cu2 Cu 0.000 0.500 0.250 1
Ir1 Ir 0.000 0.500 0.750 1
Ru1 Ru 0.000 0.000 0.500 1

***

(8)
# Cu2IrRu GGA-PBE optimized geometry
# - D(E_F) (states/eV per cell) = 9.561
# - energy relative to the lowest polymorph listed for this composition (meV per atom) = 109
# - mass density (g/cm³) = 13.1
data_Cu2IrRu
_chemical_formula_sum 'Cu4 Ir2 Ru2'
_symmetry_space_group_name_H-M 'C 1 2/m 1'
_symmetry_Int_Tables_number 12
_cell_length_a 8.735
_cell_length_b 2.665
_cell_length_c 4.655
_cell_angle_alpha 90.00
_cell_angle_beta 100.04
_cell_angle_gamma 90.00
loop_
_symmetry_equiv_pos_as_xyz
'x,y,z'
'-x,-y,-z'
'-x,y,-z'
'x,-y,z'
'x+1/2,y+1/2,z'
'-x+1/2,-y+1/2,-z'
'-x+1/2,y+1/2,-z'
'x+1/2,-y+1/2,z'
loop_
_atom_site_label
_atom_site_type_symbol
_atom_site_fract_x
_atom_site_fract_y
_atom_site_fract_z
_atom_site_occupancy
Cu1 Cu 0.250 0.000 0.249 1
Ir1 Ir 0.000 0.000 0.500 1
Ru1 Ru 0.000 0.500 0.000 1

***

(9)
# Cu2IrRu GGA-PBE optimized geometry
# - D(E_F) (states/eV per cell) = 14.621
# - energy relative to the lowest polymorph listed for this composition (meV per atom) = 200
# - mass density (g/cm³) = 13.0
data_Cu2IrRu
_chemical_formula_sum 'Cu8 Ir4 Ru4'
_symmetry_space_group_name_H-M 'F -4 3 m'
_symmetry_Int_Tables_number 216
_symmetry_space_group_name_Hall 'F -4 2 3'
_cell_length_a 5.992
_cell_length_b 5.992
_cell_length_c 5.992
_cell_angle_alpha 90.00
_cell_angle_beta 90.00
_cell_angle_gamma 90.00
loop_
_atom_site_label
_atom_site_type_symbol
_atom_site_fract_x
_atom_site_fract_y
_atom_site_fract_z
_atom_site_occupancy
Cu1 Cu 0.000 0.000 0.000 1
Cu2 Cu 0.250 0.250 0.250 1
Ir1 Ir 0.250 0.250 0.750 1
Ru1 Ru 0.000 0.000 0.500 1

***

(10)
# Cu2IrRu GGA-PBE optimized geometry
# - D(E_F) (states/eV per cell) = 13.616
# - energy relative to the lowest polymorph listed for this composition (meV per atom) = 117
# - mass density (g/cm³) = 13.1
data_Cu2IrRu
_chemical_formula_sum 'Cu6 Ir3 Ru3'
_symmetry_space_group_name_H-M 'R -3 m'
_symmetry_Int_Tables_number 166
_symmetry_space_group_name_Hall '-R 3 2"'
_cell_length_a 2.6715
_cell_length_b 2.6715
_cell_length_c 25.9495
_cell_angle_alpha 90.00
_cell_angle_beta 90.00
_cell_angle_gamma 120.00
loop_
_atom_site_label
_atom_site_type_symbol
_atom_site_fract_x
_atom_site_fract_y
_atom_site_fract_z
_atom_site_occupancy
Cu1 Cu 0.0000 0.0000 0.2494 1
Ir1 Ir 0.0000 0.0000 0.0000 1
Ru1 Ru 0.0000 0.0000 0.5000 1

***

(11)
# CuIrRu GGA-PBE optimized geometry
# - D(E_F) (states/eV per cell) = 5.525
# - energy relative to the lowest polymorph listed for this composition (meV per atom) = 61
# - mass density (g/cm³) = 14.6
data_CuIrRu
_chemical_formula_sum 'Cu2 Ir2 Ru2'
_symmetry_space_group_name_H-M 'P -1'
_symmetry_Int_Tables_number 2
_cell_length_a 4.624
_cell_length_b 4.633
_cell_length_c 5.091
_cell_angle_alpha 63.66
_cell_angle_beta 63.70
_cell_angle_gamma 60.31
loop_
_symmetry_equiv_pos_as_xyz
'x,y,z'
'-x,-y,-z'
loop_
_atom_site_label
_atom_site_type_symbol
_atom_site_fract_x
_atom_site_fract_y
_atom_site_fract_z
_atom_site_occupancy
Cu1 Cu 0.248 0.416 0.253 1
Ir1 Ir 0.417 0.252 0.750 1
Ru1 Ru 0.084 0.913 0.752 1

***

(12)
# CuIr2Ru GGA-PBE optimized geometry
# - D(E_F) (states/eV per cell) = 3.371
# - energy relative to the lowest polymorph listed for this composition (meV per atom) = 22
# - mass density (g/cm³) = 16.5
data_CuIr2Ru
_chemical_formula_sum 'Cu1 Ir2 Ru1'
_symmetry_space_group_name_H-M 'P m m m'
_symmetry_Int_Tables_number 47
_cell_length_a 2.729
_cell_length_b 3.775
_cell_length_c 5.369
_cell_angle_alpha 90.00
_cell_angle_beta 90.00
_cell_angle_gamma 90.00
loop_
_symmetry_equiv_pos_as_xyz
'x,y,z'
'-x,-y,-z'
'-x,-y,z'
'x,y,-z'
'x,-y,-z'
'-x,y,z'
'-x,y,-z'
'x,-y,z'
loop_
_atom_site_label
_atom_site_type_symbol
_atom_site_fract_x
_atom_site_fract_y
_atom_site_fract_z
_atom_site_occupancy
Cu1 Cu 0.000 0.000 0.000 1
Ir1 Ir 0.500 0.500 0.247 1
Ru1 Ru 0.000 0.000 0.500 1

***

(13)
# CuIr2Ru GGA-PBE optimized geometry
# - D(E_F) (states/eV per cell) = 21.669
# - energy relative to the lowest polymorph listed for this composition (meV per atom) = 31
# - mass density (g/cm³) = 16.3
data_CuIr2Ru
_chemical_formula_sum 'Cu3 Ir6 Ru3'
_symmetry_space_group_name_H-M 'R -3 m'
_symmetry_Int_Tables_number 166
_symmetry_space_group_name_Hall '-R 3 2"'
_cell_length_a 2.7294
_cell_length_b 2.7294
_cell_length_c 25.9397
_cell_angle_alpha 90.00
_cell_angle_beta 90.00
_cell_angle_gamma 120.00
loop_
_atom_site_label
_atom_site_type_symbol
_atom_site_fract_x
_atom_site_fract_y
_atom_site_fract_z
_atom_site_occupancy
Cu1 Cu 0.0000 0.0000 0.0000 1
Ir1 Ir 0.0000 0.0000 0.2502 1
Ru1 Ru 0.0000 0.0000 0.5000 1

***

(14)
# CuIr2Ru GGA-PBE optimized geometry
# - D(E_F) (states/eV per cell) = 6.182
# - energy relative to the lowest polymorph listed for this composition (meV per atom) = 212
# - mass density (g/cm³) = 16.3
data_CuIr2Ru
_chemical_formula_sum 'Cu1 Ir2 Ru1'
_symmetry_space_group_name_H-M 'P 4/m m m'
_symmetry_Int_Tables_number 123
_symmetry_space_group_name_Hall '-P 4 2'
_cell_length_a 3.838
_cell_length_b 3.838
_cell_length_c 3.795
_cell_angle_alpha 90.00
_cell_angle_beta 90.00
_cell_angle_gamma 90.00
loop_
_atom_site_label
_atom_site_type_symbol
_atom_site_fract_x
_atom_site_fract_y
_atom_site_fract_z
_atom_site_occupancy
Cu1 Cu 0.000 0.000 0.000 1
Ir1 Ir 0.000 0.500 0.500 1
Ru1 Ru 0.500 0.500 0.000 1